Computed, not measured: an optimized crystal structure of In3Au at the PBE-GGA level of DFT.

Output
- SG = No. 139
- E (eV per atom) = -2.89
- energy of formation (eV/f.u.) = -0.05
- ρ (g/cm3) = 9.368

Cell lengths 5.7456, 5.7456, 5.7456 Å; angles 134.18, 134.18, 66.80 degrees
Fractional coordinates of all 4 atoms:
In (0.2500, 0.7500, 0.5000)
In (0.5000, 0.5000, 0.0000)
In (0.7500, 0.2500, 0.5000)
Au (0.0000, 0.0000, 0.0000)


Computed, not measured: an optimized crystal structure of In3Au4 at the PBE-GGA level of DFT.

Output
- SG = No. 191
- E (eV per atom) = -2.87
- energy of formation (eV/f.u.) = 1.27
- ρ (g/cm3) = 11.708

Cell lengths 6.0251, 6.0251, 5.1083 Å; angles 90.00, 90.00, 120.00 degrees
Fractional coordinates of all 7 atoms:
In (0.5000, 0.0000, 0.0000)
In (0.5000, 0.5000, 0.0000)
In (0.0000, 0.5000, 0.0000)
Au (0.6667, 0.3333, 0.5000)
Au (0.0000, 0.0000, 0.2512)
Au (0.0000, 0.0000, 0.7488)
Au (0.3333, 0.6667, 0.5000)


Computed, not measured: an optimized crystal structure of In3Au at the PBE-GGA level of DFT.

Output
- SG = No. 59
- E (eV per atom) = -2.96
- energy of formation (eV/f.u.) = -0.35
- ρ (g/cm3) = 8.824

Cell lengths 3.9798, 8.3458, 6.1351 Å; angles 90.00, 90.00, 90.00 degrees
Fractional coordinates of all 8 atoms:
In (0.5000, 0.8491, 0.7456)
In (0.5000, 0.8491, 0.2544)
In (0.0000, 0.1509, 0.7544)
In (0.0000, 0.5788, 0.5000)
In (0.0000, 0.1509, 0.2456)
In (0.5000, 0.4212, 0.0000)
Au (0.5000, 0.3323, 0.5000)
Au (0.0000, 0.6677, 0.0000)


Computed, not measured: an optimized crystal structure of In3Au5 at the PBE-GGA level of DFT.

Output
- SG = No. 65
- E (eV per atom) = -3.17
- energy of formation (eV/f.u.) = -0.72
- ρ (g/cm3) = 13.820

Cell lengths 5.9462, 5.9462, 4.5641 Å; angles 90.00, 90.00, 98.20 degrees
Fractional coordinates of all 8 atoms:
Au (0.7221, 0.7221, 0.5000)
Au (0.5000, 0.0000, 0.0000)
Au (0.0000, 0.5000, 0.0000)
Au (0.0000, 0.0000, 0.0000)
Au (0.2779, 0.2779, 0.5000)
In (0.5000, 0.5000, 0.0000)
In (0.7803, 0.2197, 0.5000)
In (0.2197, 0.7803, 0.5000)


Computed, not measured: an optimized crystal structure of In3Au10 at the PBE-GGA level of DFT.

Output
- SG = No. 176
- E (eV per atom) = -3.27
- energy of formation (eV/f.u.) = -1.46
- ρ (g/cm3) = 15.641

Cell lengths 10.8921, 10.8922, 4.7824 Å; angles 90.00, 90.00, 120.00 degrees
Fractional coordinates of all 26 atoms:
Au (0.2809, 0.4876, 0.7500)
Au (0.9486, 0.8215, 0.2500)
Au (0.0246, 0.5895, 0.2500)
Au (0.8729, 0.0514, 0.2500)
Au (0.1785, 0.1271, 0.2500)
Au (0.4104, 0.4351, 0.2500)
Au (0.7191, 0.5124, 0.2500)
Au (0.4351, 0.0246, 0.7500)
Au (0.3333, 0.6667, 0.2500)
Au (0.5896, 0.5649, 0.7500)
Au (0.7933, 0.2808, 0.2500)
Au (0.4876, 0.2067, 0.2500)
Au (0.2067, 0.7192, 0.7500)
Au (0.6667, 0.3333, 0.7500)
Au (0.5124, 0.7933, 0.7500)
Au (0.9754, 0.4105, 0.7500)
Au (0.1271, 0.9486, 0.7500)
Au (0.8215, 0.8729, 0.7500)
Au (0.5649, 0.9754, 0.2500)
Au (0.0514, 0.1785, 0.7500)
In (0.6383, 0.7420, 0.2500)
In (0.3617, 0.2580, 0.7500)
In (0.8963, 0.6383, 0.7500)
In (0.1037, 0.3617, 0.2500)
In (0.7420, 0.1037, 0.7500)
In (0.2580, 0.8963, 0.2500)


Computed, not measured: an optimized crystal structure of In5Au6 at the PBE-GGA level of DFT.

Output
- SG = No. 65
- E (eV per atom) = -3.20
- energy of formation (eV/f.u.) = -1.86
- ρ (g/cm3) = 12.107

Cell lengths 3.6453, 4.3454, 15.3580 Å; angles 98.13, 90.00, 90.00 degrees
Fractional coordinates of all 11 atoms:
In (0.0000, 0.6227, 0.2454)
In (0.0000, 0.0000, 0.0000)
In (0.5000, 0.8021, 0.6043)
In (0.0000, 0.3773, 0.7546)
In (0.5000, 0.1979, 0.3957)
Au (0.0000, 0.2829, 0.5657)
Au (0.5000, 0.1050, 0.2099)
Au (0.5000, 0.8950, 0.7901)
Au (0.5000, 0.5445, 0.0889)
Au (0.0000, 0.7171, 0.4343)
Au (0.5000, 0.4555, 0.9111)


Computed, not measured: an optimized crystal structure of In4Au3 at the PBE-GGA level of DFT.

Output
- SG = No. 191
- E (eV per atom) = -3.03
- energy of formation (eV/f.u.) = -0.42
- ρ (g/cm3) = 10.921

Cell lengths 5.5764, 5.5764, 5.9293 Å; angles 90.00, 90.00, 120.00 degrees
Fractional coordinates of all 7 atoms:
In (0.0000, 0.0000, 0.7459)
In (0.0000, 0.0000, 0.2541)
In (0.3333, 0.6667, 0.5000)
In (0.6667, 0.3333, 0.5000)
Au (0.0000, 0.5000, 0.0000)
Au (0.5000, 0.0000, 0.0000)
Au (0.5000, 0.5000, 0.0000)


Computed, not measured: an optimized crystal structure of In3Au2 at the PBE-GGA level of DFT.

Output
- SG = No. 167
- E (eV per atom) = -3.10
- energy of formation (eV/f.u.) = -0.71
- ρ (g/cm3) = 9.438

Cell lengths 7.0283, 7.0283, 7.3043 Å; angles 61.24, 61.24, 60.00 degrees
Fractional coordinates of all 10 atoms:
In (0.1034, 0.7500, 0.7500)
In (0.2500, 0.6034, 0.2500)
In (0.8966, 0.2500, 0.2500)
In (0.3966, 0.1034, 0.7500)
In (0.7500, 0.3966, 0.7500)
In (0.6034, 0.8966, 0.2500)
Au (0.1697, 0.1697, 0.4909)
Au (0.3303, 0.3303, 0.0091)
Au (0.8303, 0.8303, 0.5091)
Au (0.6697, 0.6697, 0.9909)


Computed, not measured: an optimized crystal structure of InAu2 at the PBE-GGA level of DFT.

Output
- SG = No. 63
- E (eV per atom) = -3.16
- energy of formation (eV/f.u.) = -0.20
- ρ (g/cm3) = 13.159

Cell lengths 6.8448, 6.8448, 5.4111 Å; angles 90.00, 90.00, 149.57 degrees
Fractional coordinates of all 6 atoms:
Au (0.6336, 0.3664, 0.7500)
Au (0.0309, 0.9691, 0.2500)
Au (0.9691, 0.0309, 0.7500)
Au (0.3664, 0.6336, 0.2500)
In (0.2990, 0.7010, 0.7500)
In (0.7010, 0.2990, 0.2500)


Computed, not measured: an optimized crystal structure of InAu2 at the PBE-GGA level of DFT.

Output
- SG = No. 194
- E (eV per atom) = -3.18
- energy of formation (eV/f.u.) = -0.25
- ρ (g/cm3) = 14.256

Cell lengths 4.8785, 4.8785, 5.7503 Å; angles 90.00, 90.00, 120.00 degrees
Fractional coordinates of all 6 atoms:
Au (0.3333, 0.6667, 0.2500)
Au (0.0000, 0.0000, 0.5000)
Au (0.0000, 0.0000, 0.0000)
Au (0.6667, 0.3333, 0.7500)
In (0.6667, 0.3333, 0.2500)
In (0.3333, 0.6667, 0.7500)


Computed, not measured: an optimized crystal structure of InIr2Au at the PBE-GGA level of DFT.

Output
- SG = No. 65
- E (eV per atom) = -5.57
- energy of formation (eV/f.u.) = 1.44
- ρ (g/cm3) = 17.031

Cell lengths 2.8818, 2.8818, 9.2897 Å; angles 90.00, 90.00, 118.37 degrees
Fractional coordinates of all 4 atoms:
Ir (0.0000, 0.0000, 0.5069)
Ir (0.0000, 0.0000, 0.9931)
In (0.5000, 0.5000, 0.7500)
Au (0.5000, 0.5000, 0.2500)


Computed, not measured: an optimized crystal structure of InIr2Au at the PBE-GGA level of DFT.

Output
- SG = No. 10
- E (eV per atom) = -5.68
- energy of formation (eV/f.u.) = 1.03
- ρ (g/cm3) = 17.089

Cell lengths 4.7535, 2.9007, 4.9071 Å; angles 89.03, 90.00, 90.00 degrees
Fractional coordinates of all 4 atoms:
Ir (0.0000, 0.4910, 0.4944)
Ir (0.0000, 0.0090, 0.0056)
Au (0.5000, 0.2500, 0.2500)
In (0.5000, 0.7500, 0.7500)